DFT (GGA-PBE) results for a relaxed Sr2AcCd3 crystal.

Lattice parameters (Å, degrees): 9.0779 9.0779 8.1461 90.00 90.00 143.04
Fractional coordinates of all 12 atoms:
Sr1 0.0000 0.0000 0.0000
Sr2 0.0000 0.0000 0.5000
Sr3 0.3333 0.6667 0.0000
Sr4 0.6667 0.3333 0.0000
Ac1 0.3330 0.6670 0.5000
Ac2 0.6670 0.3330 0.5000
Cd1 0.1658 0.8342 0.2506
Cd2 0.1658 0.8342 0.7494
Cd3 0.5000 0.5000 0.2537
Cd4 0.5000 0.5000 0.7463
Cd5 0.8342 0.1658 0.2506
Cd6 0.8342 0.1658 0.7494

Computed properties:
**Energy above the most stable polymorph in this dataset**: 2 meV/atom
**Calculated volume**: 403.6 Å³/cell
**E**: -2.03 eV per atom
**Formation energy**: -324 meV/atom
**Magnetic moment**: 0.00 μB per formula unit
**Space group**: Cmmm